The following is a GGA-PBE calculation of Li2TeRu after structural relaxation, from the Alexandria database.

Geometry as POSCAR:
```
Li2TeRu
1.0
2.951 0.000 0.000
0.000 2.951 0.000
0.000 0.000 8.559
Li Te Ru
2 1 1
direct
0.000 0.000 0.216
0.000 0.000 0.784
0.500 0.500 0.500
0.500 0.500 0.000
```

## Properties
SG ... P4/mmm (123)
ΔE_f (raw) ... 191.8 meV/atom
Final energy ... -0.1422 Ha/atom